Computed, not measured: crystalline CsNb2Ag at its relaxed geometry at the PBE level of DFT.

Computed properties:
V = 331.37 Å³ per cell
VASP energy = -70.2 eV for the cell shown
energy above the lowest structure with this stoichiometry = 0.1884 eV/atom
E_form = 1.57 eV per atom

abc: 6.9200 6.9200 6.9200
angles: 90.00 90.00 90.00
Space group Fm-3m (No. 225)
Symmetry-distinct sites (fractional):
Cs  0.0000  0.0000  0.0000 (multiplicity 4)
Nb  0.2500  0.2500  0.2500 (multiplicity 8)
Ag  0.0000  0.0000  0.5000 (multiplicity 4)